Entry 1:
TaZn2Tc: relaxed, PBE.

Results
The density of states at the Fermi level comes out at 2.34 states/eV/f.u. The value obtained for the total magnetization is 0.00 μB per atom. Its energy relative to the elements is 0.1138 eV per atom. Its calculated total energy is -6.078 eV/atom. The energy above the lowest structure with this stoichiometry is 148 meV per atom. Its crystal system is orthorhombic.

Unit cell a=2.690 b=4.168 c=5.583 alpha=90.00 beta=90.00 gamma=90.00
Positions (direct):
Ta 0.000 0.000 0.513
Tc 0.500 0.500 0.743
Zn 0.000 0.000 0.008
Zn 0.500 0.500 0.237

***

Entry 2:
TaZnTc2: relaxed, PBE.

Results
The density of states at the Fermi level comes out at 5.01 states/eV/f.u. The value obtained for the total magnetization is 0.00 μB per atom. Its energy relative to the elements is 0.1671 eV per atom. Its calculated total energy is -8.298 eV/atom. Its crystal system is trigonal.

Unit cell a=9.040 b=9.040 c=9.040 alpha=18.14 beta=18.14 gamma=18.14
Positions (direct):
Ta 0.750 0.750 0.750
Tc 0.998 0.998 0.998
Tc 0.502 0.502 0.502
Zn 0.250 0.250 0.250

***

Entry 3:
TaZnTc2: relaxed, PBE.

Results
The density of states at the Fermi level comes out at 4.30 states/eV/f.u. The value obtained for the total magnetization is 0.00 μB per atom. Its energy relative to the elements is -0.0551 eV per atom. Its calculated total energy is -8.520 eV/atom. Its crystal system is orthorhombic.

Unit cell a=5.207 b=5.207 c=4.310 alpha=65.62 beta=65.62 gamma=35.68
Positions (direct):
Ta 0.261 0.261 0.239
Tc 0.003 0.003 0.997
Tc 0.741 0.741 0.759
Zn 0.495 0.495 0.505

***

- energy relative to the elements of number 3 (TaZnTc2)?
  -0.0551 eV per atom

***

- calculated total energy of number 1 (TaZn2Tc)?
  -6.078 eV/atom